# 1
An optimized crystal structure of BeS2BrN, computed with GGA-PBEsol.

POSCAR file:
```
BeS2BrN
1.0
4.8611 0.0000 0.0000
0.0000 4.8611 0.0000
0.0000 0.0000 3.6261
Be S Br N
1 2 1 1
direct
0.0000 0.0000 0.0000
0.0000 0.5000 0.5000
0.5000 0.0000 0.5000
0.5000 0.5000 0.5000
0.5000 0.5000 0.0000
```

Properties
The value obtained for the formation energy (no corrections) is 1.7043 eV per atom.

***

# 2
An optimized crystal structure of Be2SeBrN, computed with GGA-PBEsol.

POSCAR file:
```
Be2SeBrN
1.0
4.3379 0.0000 0.0000
0.0000 4.3379 0.0000
0.0000 0.0000 5.3405
Be Se Br N
2 1 1 1
direct
0.0000 0.5000 0.0000
0.5000 0.0000 0.0000
0.0000 0.0000 0.0000
0.0000 0.0000 0.5000
0.5000 0.5000 0.5000
```

Properties
The value obtained for the formation energy (no corrections) is 1.6825 eV per atom.

***

# 3
An optimized crystal structure of Na2YBeBr, computed with GGA-PBEsol.

POSCAR file:
```
Na2YBeBr
1.0
5.1717 0.0000 0.0000
0.0000 5.1717 0.0000
0.0000 0.0000 5.2500
Na Y Be Br
2 1 1 1
direct
0.0000 0.5000 0.0000
0.5000 0.0000 0.0000
0.0000 0.0000 0.5000
0.0000 0.0000 0.0000
0.5000 0.5000 0.5000
```

Properties
The value obtained for the formation energy (no corrections) is 0.1875 eV per atom.

***

# 4
An optimized crystal structure of BeNb2Br, computed with GGA-PBEsol.

POSCAR file:
```
BeNb2Br
1.0
0.0000 3.1290 3.1290
3.1290 0.0000 3.1290
3.1290 3.1290 0.0000
Be Nb Br
1 2 1
direct
0.0000 0.0000 0.0000
0.2500 0.2500 0.2500
0.7500 0.7500 0.7500
0.5000 0.5000 0.5000
```

Properties
The value obtained for the formation energy (no corrections) is 0.4816 eV per atom.

***

# 5
An optimized crystal structure of BeNbPbBr2, computed with GGA-PBEsol.

POSCAR file:
```
BeNbPbBr2
1.0
4.9966 0.0000 0.0000
0.0000 4.9966 0.0000
0.0000 0.0000 4.9610
Be Nb Pb Br
1 1 1 2
direct
0.0000 0.0000 0.0000
0.0000 0.0000 0.5000
0.5000 0.5000 0.0000
0.0000 0.5000 0.5000
0.5000 0.0000 0.5000
```

Properties
The value obtained for the formation energy (no corrections) is 0.4920 eV per atom.

***

# 6
An optimized crystal structure of BeNiBr2, computed with GGA-PBEsol.

POSCAR file:
```
BeNiBr2
1.0
1.8932 -3.1094 0.0000
1.8932 3.1094 0.0000
0.0000 0.0000 6.8636
Be Ni Br
1 1 2
direct
0.0000 0.0000 0.0000
0.5000 0.5000 0.8762
0.0000 0.0000 0.6687
0.5000 0.5000 0.2049
```

Properties
The value obtained for the formation energy (no corrections) is -0.1507 eV per atom.

***

# 7
An optimized crystal structure of Be4NiBr, computed with GGA-PBEsol.

POSCAR file:
```
Be4NiBr
1.0
0.0000 3.1672 3.1672
3.1672 0.0000 3.1672
3.1672 3.1672 0.0000
Be Ni Br
4 1 1
direct
0.1227 0.1227 0.1227
0.1227 0.1227 0.6318
0.1227 0.6318 0.1227
0.6318 0.1227 0.1227
0.7500 0.7500 0.7500
0.5000 0.5000 0.5000
```

Properties
The value obtained for the formation energy (no corrections) is 0.5211 eV per atom.

***

# 8
An optimized crystal structure of BeBrO2, computed with GGA-PBEsol.

POSCAR file:
```
BeBrO2
1.0
1.5235 0.8796 6.3750
-1.5235 0.8796 6.3750
0.0000 -1.7591 6.3750
Be Br O
1 1 2
direct
0.0000 0.0000 0.0000
0.5000 0.5000 0.5000
0.0761 0.0761 0.0761
0.9239 0.9239 0.9239
```

Properties
The value obtained for the formation energy (no corrections) is -0.0251 eV per atom.

***

# 9
An optimized crystal structure of BeOsBr, computed with GGA-PBEsol.

POSCAR file:
```
BeOsBr
1.0
0.0000 2.8882 2.8882
2.8882 0.0000 2.8882
2.8882 2.8882 0.0000
Be Os Br
1 1 1
direct
0.0000 0.0000 0.0000
0.5000 0.5000 0.5000
0.2500 0.2500 0.2500
```

Properties
The value obtained for the formation energy (no corrections) is 1.7825 eV per atom. Its energy above the most stable polymorph in this dataset is 1015 meV/atom.

***

# 10
An optimized crystal structure of BeOsBr, computed with GGA-PBEsol.

POSCAR file:
```
BeOsBr
1.0
0.0000 2.3707 7.0114
1.4389 0.0000 7.0114
1.4389 2.3707 0.0000
Be Os Br
1 1 1
direct
0.0000 0.0000 0.0000
0.3767 0.3767 0.6233
0.6400 0.6400 0.3600
```

Properties
The value obtained for the formation energy (no corrections) is 0.7676 eV per atom. Its energy above the most stable polymorph in this dataset is 0 meV/atom.

***

# 11
An optimized crystal structure of Be2OsBr, computed with GGA-PBEsol.

POSCAR file:
```
Be2OsBr
1.0
3.3103 0.0000 0.0000
0.0000 1.4679 6.1825
0.0000 -1.4679 6.1825
Be Os Br
2 1 1
direct
0.0000 0.0000 0.0000
0.5000 0.1145 0.1145
0.0000 0.6487 0.6487
0.5000 0.8772 0.8772
```

Properties
The value obtained for the formation energy (no corrections) is 0.3256 eV per atom. Its energy above the most stable polymorph in this dataset is 0 meV/atom.

***

# 12
An optimized crystal structure of Be2OsBr, computed with GGA-PBEsol.

POSCAR file:
```
Be2OsBr
1.0
3.9049 -1.5768 0.0000
3.9049 1.5768 0.0000
-0.0095 0.0000 4.7158
Be Os Br
2 1 1
direct
0.2036 0.2036 0.1168
0.7964 0.7964 0.8832
0.5000 0.5000 0.0000
0.0000 0.0000 0.5000
```

Properties
The value obtained for the formation energy (no corrections) is 0.5610 eV per atom. Its energy above the most stable polymorph in this dataset is 235 meV/atom.

***

> Number 1 is which compound?

BeS2BrN